VASP calculation (PBE with a Hubbard U) on crystalline Li5Ni3Sb2O10 at its relaxed geometry. Values from VASP.

Cell and atoms, written as Quantum ESPRESSO input:
```
&SYSTEM
  ibrav = 0, nat = 20, ntyp = 4
/
ATOMIC_SPECIES
Li 6.94 Li.upf
Ni 58.69 Ni.upf
Sb 121.76 Sb.upf
O 16.00 O.upf
ATOMIC_POSITIONS angstrom
Li 0.000 0.000 0.000
Li -0.992 -0.808 5.022
Li 0.483 3.026 0.863
Li 1.831 -0.380 6.332
Li 3.306 3.453 2.173
Ni -0.099 1.052 2.860
Ni 1.713 -1.334 3.597
Ni 2.413 1.593 4.335
Sb -0.250 2.065 5.747
Sb 2.564 0.581 1.448
O -1.869 0.948 6.085
O -1.084 2.692 4.019
O 0.916 -0.533 1.821
O 0.022 -1.660 6.765
O 0.670 0.564 4.798
O 1.645 2.081 2.397
O 2.292 4.305 0.430
O 1.398 3.178 5.374
O 3.398 -0.047 3.176
O 4.183 1.697 1.110
CELL_PARAMETERS angstrom
5.242 0.000 0.000
-1.111 5.314 0.000
-1.816 -2.669 7.195
```

## Properties
Excess energy over the best structure of this formula in the dataset, meV per atom: 0.0